DFT (PBE-GGA) results for an optimized crystal structure of ScIr2Rh.

Cell and atoms, written as POSCAR:
```
ScIr2Rh
1.0
-0.5270 4.0822 1.7559
-4.0601 1.8779 0.1179
-2.1224 0.4978 3.9081
Ir Rh Sc
2 1 1
Direct
0.7500 0.7500 0.7500
0.0000 0.0000 0.0000
0.5000 0.5000 0.5000
0.2500 0.2500 0.2500
```

Output
**E**: -8.0667 eV per atom
**Size of the total moment**: 1.7 μB per cell
**Fermi-level density of states**: 7.6 states/eV/cell
**Energy of formation**: -0.215 eV/atom